Pu2MnO8 | PBE with a Hubbard U | optimized geometry

Values from the calculation:
- total energy (eV/atom) = -8.9514
- total magnetic moment (μB per formula unit) = 7.0
- crystal system = triclinic

a b c (Å): 4.124 5.275 8.496
angles (deg): 96.43 99.87 106.50
Space group P-1 (No. 2)
Asymmetric unit:
Pu 0.065 0.495 0.200 x2
Mn 0.000 0.000 0.500 x1
O 0.001 0.810 0.677 x2
O 0.095 0.747 0.011 x2
O 0.236 0.772 0.395 x2
O 0.426 0.489 0.796 x2